Material: TbTmZnRh
Method: DFT, PBE
State: relaxed

Output
**Excess energy over the best structure of this formula in the dataset**: 0.000 eV/atom
**ΔH_f (0 K)**: -631 meV/atom
**Energy**: -0.1860 hartree per atom
**Total magnetization**: 0.00 μB/f.u.

Lattice parameters (Å, degrees): 3.4740 3.4740 7.0378 90.00 90.00 90.00
Element x y z (fractional)
Tb: 0.0000 0.0000 0.0000
Tm: 0.0000 0.0000 0.4675
Zn: 0.5000 0.5000 0.7256
Rh: 0.5000 0.5000 0.2416